1.
Pa3TcSb PBE relaxed; M_tot = 0.00 μB per cell; raw formation energy = -0.317 eV/atom; raw total energy = -8.912 eV per atom
1.0
5.879 0.000 0.000
0.000 6.863 -0.001
0.000 -3.431 5.944
Pa Tc Sb
6 2 2
direct
0.250 0.805 0.195 Pa
0.750 0.195 0.805 Pa
0.250 0.805 0.609 Pa
0.750 0.195 0.391 Pa
0.250 0.391 0.195 Pa
0.750 0.609 0.805 Pa
0.000 0.000 0.000 Tc
0.500 0.000 0.000 Tc
0.250 0.333 0.667 Sb
0.750 0.667 0.333 Sb

2.
Pa3TcSb2 PBE relaxed; energy relative to the lowest polymorph listed for this composition = 0 meV/atom; M_tot = 0.00 μB per cell; raw formation energy = -0.360 eV/atom; raw total energy = -8.210 eV per atom
1.0
-1.478 -1.821 3.375
-6.574 -6.697 -6.493
9.385 -8.665 -0.565
Pa Tc Sb
12 4 8
direct
0.250 0.385 0.054 Pa
0.750 0.615 0.946 Pa
0.750 0.885 0.446 Pa
0.250 0.115 0.554 Pa
0.250 0.743 0.255 Pa
0.750 0.257 0.745 Pa
0.750 0.243 0.245 Pa
0.250 0.757 0.755 Pa
0.250 0.458 0.369 Pa
0.750 0.542 0.631 Pa
0.750 0.958 0.131 Pa
0.250 0.042 0.869 Pa
0.250 0.137 0.123 Tc
0.750 0.863 0.877 Tc
0.750 0.637 0.377 Tc
0.250 0.363 0.623 Tc
0.250 0.700 0.514 Sb
0.750 0.300 0.486 Sb
0.750 0.200 0.986 Sb
0.250 0.800 0.014 Sb
0.250 0.027 0.316 Sb
0.750 0.973 0.684 Sb
0.750 0.527 0.184 Sb
0.250 0.473 0.816 Sb

3.
PaTiTcSb PBE relaxed; M_tot = 0.65 μB per cell; raw formation energy = -0.188 eV/atom; raw total energy = -8.157 eV per atom
1.0
-0.186 -3.303 3.432
4.003 -1.410 2.170
0.812 1.226 4.534
Sb Pa Tc Ti
1 1 1 1
direct
0.750 0.750 0.750 Sb
0.250 0.250 0.250 Pa
0.000 0.000 0.000 Tc
0.500 0.500 0.500 Ti

4.
PaVTcSb PBE relaxed; M_tot = 1.85 μB per cell; raw formation energy = -0.105 eV/atom; raw total energy = -8.381 eV per atom
1.0
4.738 0.000 0.000
2.369 4.103 0.000
2.369 1.368 3.869
Sb Pa Tc V
1 1 1 1
direct
0.750 0.750 0.750 Sb
0.250 0.250 0.250 Pa
0.000 0.000 0.000 Tc
0.500 0.500 0.500 V

5.
PaTcSbW PBE relaxed; M_tot = 0.00 μB per cell; raw formation energy = 0.185 eV/atom; raw total energy = -9.049 eV per atom
1.0
-0.028 2.420 4.125
2.989 -1.242 3.521
3.676 2.843 1.130
Sb Pa Tc W
1 1 1 1
direct
0.250 0.250 0.250 Sb
0.750 0.750 0.750 Pa
0.500 0.500 0.500 Tc
0.000 0.000 0.000 W

6.
Pa3SbTe5 PBE relaxed; M_tot = 4.11 μB per cell; raw formation energy = -0.544 eV/atom; raw total energy = -5.912 eV per atom
1.0
-3.182 6.723 -4.147
-5.546 -3.256 -5.582
-10.511 2.010 3.340
Pa Sb Te
6 2 10
direct
0.668 0.668 0.834 Pa
0.671 0.671 0.343 Pa
0.000 0.000 0.000 Pa
0.000 0.000 0.500 Pa
0.332 0.332 0.166 Pa
0.329 0.329 0.657 Pa
0.091 0.091 0.704 Sb
0.909 0.909 0.296 Sb
0.967 0.374 0.340 Te
0.298 0.702 0.000 Te
0.761 0.761 0.041 Te
0.443 0.443 0.354 Te
0.557 0.557 0.646 Te
0.239 0.239 0.959 Te
0.374 0.967 0.340 Te
0.702 0.298 0.000 Te
0.033 0.626 0.660 Te
0.626 0.033 0.660 Te

7.
PaSbTe4 PBE relaxed; energy relative to the lowest polymorph listed for this composition = 0 meV/atom; M_tot = 0.00 μB per cell; raw formation energy = -0.494 eV/atom; raw total energy = -4.858 eV per atom
1.0
-3.875 -0.061 -2.046
-0.886 -7.291 1.896
-2.940 4.686 5.429
Pa Sb Te
1 1 4
direct
0.000 0.500 0.500 Pa
0.500 0.000 0.500 Sb
0.000 0.266 0.738 Te
0.000 0.734 0.262 Te
0.500 0.749 0.738 Te
0.500 0.251 0.262 Te

8.
Pa4Sb5Te PBE relaxed; M_tot = 1.70 μB per cell; raw formation energy = -0.364 eV/atom; raw total energy = -6.538 eV per atom
1.0
-1.717 -3.936 -2.969
2.057 -4.843 5.231
-8.223 7.428 -0.503
Pa Sb Te
4 5 1
direct
0.315 0.881 0.629 Pa
0.993 0.733 0.986 Pa
0.685 0.119 0.371 Pa
0.007 0.267 0.014 Pa
0.837 0.689 0.673 Sb
0.836 0.156 0.671 Sb
0.164 0.844 0.329 Sb
0.500 0.500 0.000 Sb
0.163 0.311 0.327 Sb
0.500 0.000 0.000 Te

9.
Pa6Sb5Te PBE relaxed; M_tot = 1.73 μB per cell; raw formation energy = -0.463 eV/atom; raw total energy = -7.190 eV per atom
1.0
-6.277 -2.914 3.058
1.686 -6.473 3.482
2.013 0.040 7.264
Sb Pa Te
5 6 1
direct
0.500 0.167 0.665 Sb
0.000 0.334 0.333 Sb
0.500 0.500 0.000 Sb
0.000 0.666 0.667 Sb
0.500 0.833 0.335 Sb
0.750 0.083 0.333 Pa
0.250 0.584 0.333 Pa
0.250 0.249 0.000 Pa
0.750 0.751 0.000 Pa
0.750 0.416 0.667 Pa
0.250 0.917 0.667 Pa
0.000 0.000 0.000 Te

10.
PaSbTe2 PBE relaxed; energy relative to the lowest polymorph listed for this composition = 0 meV/atom; M_tot = 1.62 μB per cell; raw formation energy = -0.403 eV/atom; raw total energy = -5.378 eV per atom
1.0
3.958 0.000 0.000
0.000 4.389 0.000
-1.979 0.000 16.352
Pa Sb Te
2 2 4
direct
0.316 0.250 0.633 Pa
0.684 0.750 0.367 Pa
0.029 0.250 0.057 Sb
0.971 0.750 0.943 Sb
0.215 0.250 0.430 Te
0.785 0.750 0.570 Te
0.885 0.250 0.769 Te
0.115 0.750 0.231 Te